# Ac2PuH12Pd3

A relaxed Ac2PuH12Pd3 crystal (GGA-PBE, Alexandria).

Calculated values
VASP energy   -249.6 eV per cell

Cell: 6.5366 6.5366 16.1938 Å, 90.00 90.00 120.00°
Space group R-3m (No. 166, hexagonal axes)
Symmetry-distinct sites (fractional):
Ac  0.0000  0.0000  0.1115 [6 per cell]
Pu  0.0000  0.0000  0.5000 [3 per cell]
H  0.0366  0.5183  0.8846 [18 per cell]
H  0.0728  0.5364  0.3019 [18 per cell]
Pd  0.0000  0.5000  0.0000 [9 per cell]